1.
PBEsol PrAs, relaxed; SG = Fm-3m (225); energy relative to the elements = -1497 meV per atom
1.0
0.000 3.004 3.004
3.004 0.000 3.004
3.004 3.004 0.000
Pr As
1 1
direct
0.000 0.000 0.000 Pr
0.500 0.500 0.500 As

=====

2.
PBEsol MgAlTl2, relaxed; SG = I-4m2 (119); energy relative to the elements = 103 meV per atom; energy relative to the lowest polymorph listed for this composition = 4 meV per atom
1.0
-2.192 2.192 4.864
2.192 -2.192 4.864
2.192 2.192 -4.864
Mg Al Tl
1 1 2
direct
0.000 0.000 0.000 Mg
0.250 0.750 0.500 Al
0.500 0.500 0.000 Tl
0.750 0.250 0.500 Tl

=====

3.
PBEsol Sc2CrOs, relaxed; SG = P4/mmm (123); energy relative to the elements = -31 meV per atom; energy relative to the lowest polymorph listed for this composition = 0 meV per atom
1.0
4.498 0.000 0.000
0.000 4.498 0.000
0.000 0.000 3.273
Sc Cr Os
2 1 1
direct
0.000 0.500 0.000 Sc
0.500 0.000 0.000 Sc
0.000 0.000 0.500 Cr
0.500 0.500 0.500 Os

=====

4.
PBEsol CsClF2, relaxed; SG = R-3m (166); raw formation energy = -1.73 eV per atom
1.0
2.447 1.413 5.621
-2.447 1.413 5.621
0.000 -2.825 5.621
Cs Cl F
1 1 2
direct
0.000 0.000 0.000 Cs
0.500 0.500 0.500 Cl
0.389 0.389 0.389 F
0.611 0.611 0.611 F

=====

5.
PBEsol SrBeFe, relaxed; SG = F-43m (216); energy relative to the elements = 1134 meV per atom
1.0
0.000 3.153 3.153
3.153 0.000 3.153
3.153 3.153 0.000
Sr Be Fe
1 1 1
direct
0.000 0.000 0.000 Sr
0.500 0.500 0.500 Be
0.250 0.250 0.250 Fe

=====

6.
PBEsol LiAl2, relaxed; SG = C2/c (15); energy relative to the elements = -95 meV per atom; energy relative to the lowest polymorph listed for this composition = 0 meV per atom
1.0
2.842 -2.840 0.000
2.842 2.840 0.000
-2.785 0.000 11.895
Li Al
4 8
direct
0.043 0.793 0.586 Li
0.207 0.957 0.914 Li
0.793 0.043 0.086 Li
0.957 0.207 0.414 Li
0.123 0.373 0.747 Al
0.291 0.541 0.083 Al
0.373 0.123 0.247 Al
0.459 0.709 0.417 Al
0.541 0.291 0.583 Al
0.627 0.877 0.753 Al
0.709 0.459 0.917 Al
0.877 0.627 0.253 Al

=====

Volume readings, ordered: 27.105, 23.370, 16.554, 29.141, 20.888, 16.006 Å³/atom